Entry 1:
A plane-wave DFT calculation with PBE was carried out for a geometry-optimized Na3MgHg4 structure.

Properties
Its crystal system is tetragonal. The calculation puts the density of states at the Fermi level at 2.8 states/eV/f.u. The value obtained for the volume is 24.6 Å³ per atom.

Lattice parameters (Å, degrees): 3.605 3.605 15.113 90.00 90.00 90.00
Space group P4/mmm (No. 123)
Unique sites:
Na  0.000  0.000  0.000 [1 per cell]
Na  0.000  0.000  0.259 [2 per cell]
Mg  0.000  0.000  0.500 [1 per cell]
Hg  0.500  0.500  0.127 [2 per cell]
Hg  0.500  0.500  0.386 [2 per cell]

Entry 2:
A plane-wave DFT calculation with PBE was carried out for a geometry-optimized NaV2Ag structure.

Properties
For the energy above the most stable polymorph in this dataset, the calculation gives 0.000 eV per atom. Its crystal system is monoclinic. The calculation puts the density of states at the Fermi level at 3.0 states/eV/f.u. The value obtained for the volume is 18.2 Å³ per atom.

Lattice parameters (Å, degrees): 3.040 3.040 15.725 90.00 90.15 90.00
Space group P2_1/m (No. 11)
Unique sites:
Na  0.242  0.250  0.101 [2 per cell]
V  0.246  0.250  0.366 [2 per cell]
V  0.251  0.250  0.547 [2 per cell]
Ag  0.256  0.250  0.751 [2 per cell]

Energy of formation from the pure elements readings, ordered: -0.2289 0.1492 eV/atom